1.
Here is crystalline Tm12Hg5Pt2 at its relaxed geometry from the Alexandria database. Energies are from PBE.

Output
N(E_F) (states/eV per cell): 15.07
Electronic total energy (eV/cell): -74.908
SG: No. 12
Formation energy (eV per atom): -0.403

a = 7.794 Å, b = 8.918 Å, c = 8.708 Å
α = 104.82°, β = 90.00°, γ = 115.91°
Sites, in units of the cell vectors:
Tm 0.557 0.648 0.830
Tm 0.513 0.027 0.815
Tm 0.487 0.973 0.185
Tm 0.910 0.352 0.170
Hg 0.000 0.000 0.500
Tm 0.413 0.237 0.546
Pt 0.793 0.000 0.000
Tm 0.177 0.763 0.454
Tm 0.443 0.352 0.170
Tm 0.098 0.196 0.842
Tm 0.902 0.804 0.158
Hg 0.762 0.524 0.462
Hg 0.238 0.476 0.538
Hg 0.704 0.408 0.888
Tm 0.823 0.237 0.546
Tm 0.587 0.763 0.454
Tm 0.090 0.648 0.830
Hg 0.296 0.592 0.112
Pt 0.207 0.000 0.000

2.
Here is crystalline TmZnHgPt at its relaxed geometry from the Alexandria database. Energies are from PBE.

Output
N(E_F) (states/eV per cell): 2.68
Electronic total energy (eV/cell): -14.364
SG: No. 216
Formation energy (eV per atom): -0.569

a = 4.792 Å, b = 4.792 Å, c = 4.792 Å
α = 60.00°, β = 60.00°, γ = 60.00°
Sites, in units of the cell vectors:
Hg 0.250 0.250 0.250
Zn 0.500 0.500 0.500
Pt 0.750 0.750 0.750
Tm 0.000 0.000 0.000

3.
Here is crystalline TmZrHgPt at its relaxed geometry from the Alexandria database. Energies are from PBE.

Output
N(E_F) (states/eV per cell): 5.01
Electronic total energy (eV/cell): -21.811
SG: No. 216
Formation energy (eV per atom): -0.612

a = 4.941 Å, b = 4.941 Å, c = 4.941 Å
α = 60.00°, β = 60.00°, γ = 60.00°
Sites, in units of the cell vectors:
Pt 0.500 0.500 0.500
Zr 0.750 0.750 0.750
Tm 0.250 0.250 0.250
Hg 0.000 0.000 0.000

4.
Here is crystalline U2Hg2Pt15 at its relaxed geometry from the Alexandria database. Energies are from PBE.

Output
N(E_F) (states/eV per cell): 23.39
Electronic total energy (eV/cell): -117.528
SG: No. 166
Formation energy (eV per atom): -0.197

a = 7.076 Å, b = 7.076 Å, c = 7.076 Å
α = 81.72°, β = 81.72°, γ = 81.72°
Sites, in units of the cell vectors:
Pt 0.841 0.340 0.340
Pt 0.321 0.679 0.000
Pt 0.660 0.660 0.159
Pt 0.679 0.321 0.000
Pt 0.000 0.500 0.000
U 0.088 0.088 0.088
Pt 0.500 0.000 0.000
Pt 0.340 0.841 0.340
Pt 0.321 0.000 0.679
U 0.912 0.912 0.912
Pt 0.340 0.340 0.841
Pt 0.159 0.660 0.660
Hg 0.638 0.638 0.638
Hg 0.362 0.362 0.362
Pt 0.660 0.159 0.660
Pt 0.679 0.000 0.321
Pt 0.000 0.000 0.500
Pt 0.000 0.321 0.679
Pt 0.000 0.679 0.321

5.
Here is crystalline U2HgPt9 at its relaxed geometry from the Alexandria database. Energies are from PBE.

Output
N(E_F) (states/eV per cell): 13.54
Electronic total energy (eV/cell): -83.772
SG: No. 123
Formation energy (eV per atom): -0.544

a = 4.144 Å, b = 4.144 Å, c = 12.262 Å
α = 90.00°, β = 90.00°, γ = 90.00°
Sites, in units of the cell vectors:
Pt 0.500 0.500 0.667
Pt 0.500 0.000 0.170
Pt 0.500 0.500 0.333
Pt 0.000 0.500 0.170
Pt 0.500 0.500 0.000
Pt 0.000 0.500 0.830
U 0.000 0.000 0.672
Pt 0.500 0.000 0.500
Pt 0.000 0.500 0.500
U 0.000 0.000 0.328
Pt 0.500 0.000 0.830
Hg 0.000 0.000 0.000

6.
Here is crystalline V2HgPt2 at its relaxed geometry from the Alexandria database. Energies are from PBE.

Output
ΔE to the lowest computed polymorph (eV/f.u.): 0.000
N(E_F) (states/eV per cell): 7.32
Electronic total energy (eV/cell): -63.767
SG: No. 127
Formation energy (eV per atom): -0.253

a = 7.658 Å, b = 7.658 Å, c = 2.751 Å
α = 90.00°, β = 90.00°, γ = 90.00°
Sites, in units of the cell vectors:
Pt 0.372 0.872 0.000
V 0.167 0.667 0.500
Pt 0.628 0.128 0.000
Pt 0.128 0.372 0.000
V 0.333 0.167 0.500
Hg 0.500 0.500 0.000
V 0.833 0.333 0.500
Hg 0.000 0.000 0.000
Pt 0.872 0.628 0.000
V 0.667 0.833 0.500

7.
Here is crystalline VHgPt2 at its relaxed geometry from the Alexandria database. Energies are from PBE.

Output
N(E_F) (states/eV per cell): 2.57
Electronic total energy (eV/cell): -22.841
SG: No. 123
Formation energy (eV per atom): -0.335

a = 2.829 Å, b = 2.829 Å, c = 8.176 Å
α = 90.00°, β = 90.00°, γ = 90.00°
Sites, in units of the cell vectors:
Hg 0.500 0.500 0.500
Pt 0.000 0.000 0.784
Pt 0.000 0.000 0.216
V 0.500 0.500 0.000

8.
Here is crystalline V2HgPt2 at its relaxed geometry from the Alexandria database. Energies are from PBE.

Output
ΔE to the lowest computed polymorph (eV/f.u.): 0.378
N(E_F) (states/eV per cell): 7.44
Electronic total energy (eV/cell): -63.011
SG: No. 127
Formation energy (eV per atom): -0.177

a = 7.716 Å, b = 7.716 Å, c = 2.747 Å
α = 90.00°, β = 90.00°, γ = 90.00°
Sites, in units of the cell vectors:
Hg 0.500 0.500 0.000
Pt 0.828 0.328 0.500
Pt 0.172 0.672 0.500
Pt 0.328 0.172 0.500
Hg 0.000 0.000 0.000
Pt 0.672 0.828 0.500
V 0.114 0.386 0.000
V 0.386 0.886 0.000
V 0.886 0.614 0.000
V 0.614 0.114 0.000

9.
Here is crystalline VHgPt2 at its relaxed geometry from the Alexandria database. Energies are from PBE.

Output
N(E_F) (states/eV per cell): 8.97
Electronic total energy (eV/cell): -41.925
SG: No. 122
Formation energy (eV per atom): 0.135

a = 7.242 Å, b = 7.242 Å, c = 5.824 Å
α = 51.56°, β = 51.56°, γ = 90.00°
Sites, in units of the cell vectors:
Hg 0.750 0.250 0.500
Pt 0.375 0.418 0.750
V 0.250 0.750 0.500
Pt 0.582 0.125 0.250
V 0.500 0.500 0.000
Hg 0.000 0.000 0.000
Pt 0.168 0.625 0.250
Pt 0.875 0.832 0.750

10.
Here is crystalline V2HgPt2 at its relaxed geometry from the Alexandria database. Energies are from PBE.

Output
ΔE to the lowest computed polymorph (eV/f.u.): 1.077
N(E_F) (states/eV per cell): 5.35
Electronic total energy (eV/cell): -30.807
SG: No. 139
Formation energy (eV per atom): -0.037

a = 3.878 Å, b = 3.878 Å, c = 6.443 Å
α = 72.49°, β = 72.49°, γ = 90.00°
Sites, in units of the cell vectors:
Pt 0.611 0.611 0.778
V 0.750 0.250 0.500
V 0.250 0.750 0.500
Hg 0.000 0.000 0.000
Pt 0.389 0.389 0.222

11.
Here is crystalline VHgPt3 at its relaxed geometry from the Alexandria database. Energies are from PBE.

Output
ΔE to the lowest computed polymorph (eV/f.u.): 4.142
N(E_F) (states/eV per cell): 12.34
Electronic total energy (eV/cell): -19.812
SG: No. 221
Formation energy (eV per atom): 1.546

a = 4.978 Å, b = 4.978 Å, c = 4.978 Å
α = 90.00°, β = 90.00°, γ = 90.00°
Sites, in units of the cell vectors:
Pt 0.500 0.000 0.000
Pt 0.000 0.500 0.000
Hg 0.000 0.000 0.000
Pt 0.000 0.000 0.500
V 0.500 0.500 0.500

12.
Here is crystalline VHgPt3 at its relaxed geometry from the Alexandria database. Energies are from PBE.

Output
ΔE to the lowest computed polymorph (eV/f.u.): 0.000
N(E_F) (states/eV per cell): 6.00
Electronic total energy (eV/cell): -23.954
SG: No. 221
Formation energy (eV per atom): 0.718

a = 4.679 Å, b = 4.679 Å, c = 4.679 Å
α = 90.00°, β = 90.00°, γ = 90.00°
Sites, in units of the cell vectors:
Hg 0.500 0.500 0.500
V 0.000 0.000 0.000
Pt 0.000 0.000 0.500
Pt 0.500 0.000 0.000
Pt 0.000 0.500 0.000